Entry 1:
The following is a PBE-GGA calculation of crystalline LaCdGe at its relaxed geometry, from Alexandria.

The calculation puts the total DFT energy (no corrections) at -4.056 eV per atom.

```
data_LaCdGe
_chemical_formula_sum 'La6 Cd6 Ge6'
_cell_length_a 7.619
_cell_length_b 4.485
_cell_length_c 13.335
_cell_angle_alpha 90.00
_cell_angle_beta 93.12
_cell_angle_gamma 90.00
_symmetry_space_group_name_H-M 'P 1 21/m 1'
_symmetry_Int_Tables_number 11
loop_
_symmetry_equiv_pos_as_xyz
'x,y,z'
'-x,-y,-z'
'-x,y+1/2,-z'
'x,-y+1/2,z'
loop_
_atom_site_label
_atom_site_fract_x
_atom_site_fract_y
_atom_site_fract_z
La1 0.028 0.250 0.120
La2 0.157 0.250 0.418
La3 0.467 0.750 0.794
Cd1 0.124 0.250 0.697
Cd2 0.347 0.750 0.042
Cd3 0.497 0.750 0.410
Ge1 0.242 0.750 0.251
Ge2 0.262 0.250 0.919
Ge3 0.262 0.750 0.588
```

---

Entry 2:
The following is a PBE-GGA calculation of crystalline AlGe3O at its relaxed geometry, from Alexandria.

Its raw formation energy is 891 meV/atom. The calculation puts the total DFT energy (no corrections) at -3.620 eV per atom.

```
data_AlGe3O
_chemical_formula_sum 'Al1 Ge3 O1'
_cell_length_a 4.824
_cell_length_b 4.824
_cell_length_c 4.824
_cell_angle_alpha 90.00
_cell_angle_beta 90.00
_cell_angle_gamma 90.00
_symmetry_space_group_name_H-M 'P m -3 m'
_symmetry_Int_Tables_number 221
_symmetry_space_group_name_Hall '-P 4 2 3'
loop_
_atom_site_label
_atom_site_fract_x
_atom_site_fract_y
_atom_site_fract_z
Al1 0.000 0.000 0.000
Ge1 0.000 0.000 0.500
O1 0.500 0.500 0.500
```

---

Entry 3:
The following is a PBE-GGA calculation of crystalline Ti2In2P at its relaxed geometry, from Alexandria.

The calculation puts the total DFT energy (no corrections) at -4.913 eV per atom.

```
data_Ti2In2P
_chemical_formula_sum 'Ti4 In4 P2'
_cell_length_a 3.560
_cell_length_b 3.560
_cell_length_c 16.360
_cell_angle_alpha 90.00
_cell_angle_beta 90.00
_cell_angle_gamma 90.00
_symmetry_space_group_name_H-M 'I 4/m m m'
_symmetry_Int_Tables_number 139
_symmetry_space_group_name_Hall '-I 4 2'
loop_
_atom_site_label
_atom_site_fract_x
_atom_site_fract_y
_atom_site_fract_z
Ti1 0.000 0.500 0.250
In1 0.000 0.000 0.095
P1 0.000 0.000 0.500
```

---

Entry 4:
The following is a PBE-GGA calculation of crystalline InAsAu2 at its relaxed geometry, from Alexandria.

The calculation puts the total DFT energy (no corrections) at -3.494 eV per atom.

```
data_InAsAu2
_chemical_formula_sum 'In3 As3 Au6'
_cell_length_a 4.0178
_cell_length_b 4.0178
_cell_length_c 18.6372
_cell_angle_alpha 90.00
_cell_angle_beta 90.00
_cell_angle_gamma 120.00
_symmetry_space_group_name_H-M 'R -3 m'
_symmetry_Int_Tables_number 166
_symmetry_space_group_name_Hall '-R 3 2"'
loop_
_atom_site_label
_atom_site_fract_x
_atom_site_fract_y
_atom_site_fract_z
In1 0.0000 0.0000 0.0000
As1 0.0000 0.0000 0.5000
Au1 0.0000 0.0000 0.2426
```

---

Entry 5:
The following is a PBE-GGA calculation of crystalline ReTe2Au at its relaxed geometry, from Alexandria.

Its raw formation energy is 844 meV/atom. The calculation puts the total DFT energy (no corrections) at -4.658 eV per atom.

```
data_ReTe2Au
_chemical_formula_sum 'Re2 Te4 Au2'
_cell_length_a 6.329
_cell_length_b 7.520
_cell_length_c 3.450
_cell_angle_alpha 90.00
_cell_angle_beta 90.00
_cell_angle_gamma 90.00
_symmetry_space_group_name_H-M 'C m m m'
_symmetry_Int_Tables_number 65
_symmetry_space_group_name_Hall '-C 2 2'
loop_
_atom_site_label
_atom_site_fract_x
_atom_site_fract_y
_atom_site_fract_z
Re1 0.000 0.000 0.000
Te1 0.250 0.250 0.500
Au1 0.000 0.500 0.000
```

---

Entry 6:
The following is a PBE-GGA calculation of crystalline RbNF3 at its relaxed geometry, from Alexandria.

Its raw formation energy is -694 meV/atom. The calculation puts the total DFT energy (no corrections) at -3.676 eV per atom.

```
data_RbNF3
_chemical_formula_sum 'Rb4 N4 F12'
_cell_length_a 5.775
_cell_length_b 5.775
_cell_length_c 9.030
_cell_angle_alpha 90.00
_cell_angle_beta 90.00
_cell_angle_gamma 90.00
_symmetry_space_group_name_H-M 'I 4/m m m'
_symmetry_Int_Tables_number 139
_symmetry_space_group_name_Hall '-I 4 2'
loop_
_atom_site_label
_atom_site_fract_x
_atom_site_fract_y
_atom_site_fract_z
Rb1 0.000 0.500 0.250
N1 0.000 0.000 0.000
N2 0.000 0.000 0.500
F1 0.000 0.000 0.188
F2 0.216 0.216 0.500
```

---

Entry 7:
The following is a PBE-GGA calculation of crystalline Cs2RbHg2 at its relaxed geometry, from Alexandria.

The calculation puts the total DFT energy (no corrections) at -0.768 eV per atom.

```
data_Cs2RbHg2
_chemical_formula_sum 'Cs4 Rb2 Hg4'
_cell_length_a 11.081
_cell_length_b 11.081
_cell_length_c 4.567
_cell_angle_alpha 90.00
_cell_angle_beta 90.00
_cell_angle_gamma 90.00
_symmetry_space_group_name_H-M 'P 4/m b m'
_symmetry_Int_Tables_number 127
_symmetry_space_group_name_Hall '-P 4 2ab'
loop_
_atom_site_label
_atom_site_fract_x
_atom_site_fract_y
_atom_site_fract_z
Cs1 0.141 0.359 0.000
Rb1 0.000 0.000 0.000
Hg1 0.150 0.650 0.500
```

---

Entry 8:
The following is a PBE-GGA calculation of crystalline Te2CS at its relaxed geometry, from Alexandria.

Its raw formation energy is 1605 meV/atom. The calculation puts the total DFT energy (no corrections) at -3.304 eV per atom.

```
data_Te2CS
_chemical_formula_sum 'Te8 C4 S4'
_cell_length_a 6.679
_cell_length_b 6.679
_cell_length_c 6.679
_cell_angle_alpha 90.00
_cell_angle_beta 90.00
_cell_angle_gamma 90.00
_symmetry_space_group_name_H-M 'F m -3 m'
_symmetry_Int_Tables_number 225
_symmetry_space_group_name_Hall '-F 4 2 3'
loop_
_atom_site_label
_atom_site_fract_x
_atom_site_fract_y
_atom_site_fract_z
Te1 0.250 0.250 0.250
C1 0.000 0.000 0.000
S1 0.000 0.000 0.500
```

---

Entry 9:
The following is a PBE-GGA calculation of crystalline Hf2ScZn at its relaxed geometry, from Alexandria.

The calculation puts the total DFT energy (no corrections) at -6.872 eV per atom.

```
data_Hf2ScZn
_chemical_formula_sum 'Hf6 Sc3 Zn3'
_cell_length_a 3.2178
_cell_length_b 3.2178
_cell_length_c 28.5132
_cell_angle_alpha 90.00
_cell_angle_beta 90.00
_cell_angle_gamma 120.00
_symmetry_space_group_name_H-M 'R 3 m'
_symmetry_Int_Tables_number 160
_symmetry_space_group_name_Hall 'R 3 -2"'
loop_
_atom_site_label
_atom_site_fract_x
_atom_site_fract_y
_atom_site_fract_z
Hf1 0.0000 0.0000 0.0000
Hf2 0.0000 0.0000 0.1778
Sc1 0.0000 0.0000 0.4219
Zn1 0.0000 0.0000 0.5887
```

---

Entry 10:
The following is a PBE-GGA calculation of crystalline SnPb2NCl at its relaxed geometry, from Alexandria.

Its raw formation energy is 1313 meV/atom. The calculation puts the total DFT energy (no corrections) at -3.006 eV per atom.

```
data_SnPb2NCl
_chemical_formula_sum 'Sn1 Pb2 N1 Cl1'
_cell_length_a 5.885
_cell_length_b 5.885
_cell_length_c 5.105
_cell_angle_alpha 90.00
_cell_angle_beta 90.00
_cell_angle_gamma 90.00
_symmetry_space_group_name_H-M 'P 4/m m m'
_symmetry_Int_Tables_number 123
_symmetry_space_group_name_Hall '-P 4 2'
loop_
_atom_site_label
_atom_site_fract_x
_atom_site_fract_y
_atom_site_fract_z
Sn1 0.000 0.000 0.000
Pb1 0.000 0.500 0.000
N1 0.500 0.500 0.500
Cl1 0.000 0.000 0.500
```

---

Entry 11:
The following is a PBE-GGA calculation of crystalline BaPtSe at its relaxed geometry, from Alexandria.

Its raw formation energy is -733 meV/atom. The calculation puts the total DFT energy (no corrections) at -4.549 eV per atom.

```
data_BaPtSe
_chemical_formula_sum 'Ba4 Pt4 Se4'
_cell_length_a 5.457
_cell_length_b 9.663
_cell_length_c 6.331
_cell_angle_alpha 90.00
_cell_angle_beta 90.00
_cell_angle_gamma 90.00
_symmetry_space_group_name_H-M 'I m m a'
_symmetry_Int_Tables_number 74
_symmetry_space_group_name_Hall '-I 2b 2'
loop_
_atom_site_label
_atom_site_fract_x
_atom_site_fract_y
_atom_site_fract_z
Ba1 0.000 0.000 0.000
Pt1 0.000 0.250 0.369
Se1 0.250 0.250 0.750
```

---

Entry 12:
The following is a PBE-GGA calculation of crystalline SrPuAs2 at its relaxed geometry, from Alexandria.

The calculation puts the total DFT energy (no corrections) at -7.353 eV per atom.

```
data_SrPuAs2
_chemical_formula_sum 'Sr3 Pu3 As6'
_cell_length_a 4.2851
_cell_length_b 4.2851
_cell_length_c 21.1592
_cell_angle_alpha 90.00
_cell_angle_beta 90.00
_cell_angle_gamma 120.00
_symmetry_space_group_name_H-M 'R -3 m'
_symmetry_Int_Tables_number 166
_symmetry_space_group_name_Hall '-R 3 2"'
loop_
_atom_site_label
_atom_site_fract_x
_atom_site_fract_y
_atom_site_fract_z
Sr1 0.0000 0.0000 0.0000
Pu1 0.0000 0.0000 0.5000
As1 0.0000 0.0000 0.2378
```

---

Entry 13:
The following is a PBE-GGA calculation of crystalline Pr2SmTlO at its relaxed geometry, from Alexandria.

Its raw formation energy is -1340 meV/atom. The calculation puts the total DFT energy (no corrections) at -5.661 eV per atom.

```
data_Pr2SmTlO
_chemical_formula_sum 'Pr2 Sm1 Tl1 O1'
_cell_length_a 5.044
_cell_length_b 5.044
_cell_length_c 4.904
_cell_angle_alpha 90.00
_cell_angle_beta 90.00
_cell_angle_gamma 90.00
_symmetry_space_group_name_H-M 'P 4/m m m'
_symmetry_Int_Tables_number 123
_symmetry_space_group_name_Hall '-P 4 2'
loop_
_atom_site_label
_atom_site_fract_x
_atom_site_fract_y
_atom_site_fract_z
Pr1 0.000 0.500 0.000
Sm1 0.000 0.000 0.500
Tl1 0.500 0.500 0.500
O1 0.000 0.000 0.000
```

---

Entry 14:
The following is a PBE-GGA calculation of crystalline CsRb2TeSe4 at its relaxed geometry, from Alexandria.

Its raw formation energy is -550 meV/atom. The calculation puts the total DFT energy (no corrections) at -3.034 eV per atom.

```
data_CsRb2TeSe4
_chemical_formula_sum 'Cs4 Rb8 Te4 Se16'
_cell_length_a 13.349
_cell_length_b 13.846
_cell_length_c 8.452
_cell_angle_alpha 90.00
_cell_angle_beta 129.18
_cell_angle_gamma 90.00
_symmetry_space_group_name_H-M 'C 1 2/c 1'
_symmetry_Int_Tables_number 15
loop_
_symmetry_equiv_pos_as_xyz
'x,y,z'
'-x,-y,-z'
'-x,y,-z+1/2'
'x,-y,z+1/2'
'x+1/2,y+1/2,z'
'-x+1/2,-y+1/2,-z'
'-x+1/2,y+1/2,-z+1/2'
'x+1/2,-y+1/2,z+1/2'
loop_
_atom_site_label
_atom_site_fract_x
_atom_site_fract_y
_atom_site_fract_z
Cs1 0.250 0.250 0.000
Rb1 0.000 0.000 0.000
Rb2 0.250 0.250 0.500
Te1 0.000 0.500 0.000
Se1 0.000 0.295 0.022
Se2 0.192 0.499 0.442
```

---

Entry 15:
The following is a PBE-GGA calculation of crystalline La12Pr3Dy at its relaxed geometry, from Alexandria.

The calculation puts the total DFT energy (no corrections) at -4.874 eV per atom.

```
data_La12Pr3Dy
_chemical_formula_sum 'La12 Pr3 Dy1'
_cell_length_a 5.246
_cell_length_b 5.246
_cell_length_c 21.003
_cell_angle_alpha 90.00
_cell_angle_beta 90.00
_cell_angle_gamma 90.00
_symmetry_space_group_name_H-M 'P 4/m m m'
_symmetry_Int_Tables_number 123
_symmetry_space_group_name_Hall '-P 4 2'
loop_
_atom_site_label
_atom_site_fract_x
_atom_site_fract_y
_atom_site_fract_z
La1 0.000 0.000 0.000
La2 0.000 0.000 0.249
La3 0.000 0.000 0.500
La4 0.000 0.500 0.123
La5 0.000 0.500 0.374
Pr1 0.500 0.500 0.249
Pr2 0.500 0.500 0.500
Dy1 0.500 0.500 0.000
```

---

Entry 16:
The following is a PBE-GGA calculation of crystalline Tb6PrNd at its relaxed geometry, from Alexandria.

The calculation puts the total DFT energy (no corrections) at -4.647 eV per atom.

```
data_Tb6PrNd
_chemical_formula_sum 'Tb6 Pr1 Nd1'
_cell_length_a 5.084
_cell_length_b 5.084
_cell_length_c 10.160
_cell_angle_alpha 90.00
_cell_angle_beta 90.00
_cell_angle_gamma 90.00
_symmetry_space_group_name_H-M 'P 4/m m m'
_symmetry_Int_Tables_number 123
_symmetry_space_group_name_Hall '-P 4 2'
loop_
_atom_site_label
_atom_site_fract_x
_atom_site_fract_y
_atom_site_fract_z
Tb1 0.000 0.000 0.000
Tb2 0.000 0.000 0.500
Tb3 0.000 0.500 0.249
Pr1 0.500 0.500 0.500
Nd1 0.500 0.500 0.000
```